Material: YRe4Ir
Method: DFT, GGA-PBE
State: relaxed

Space group = F-43m
E = -10.66 eV per atom
ΔE_f = 0.19 eV/atom
Fermi-level density of states = 7.23 states/eV/cell

Unit cell a=5.2628 b=5.2628 c=5.2628 alpha=60.00 beta=60.00 gamma=60.00
With the nearest neighbours (Å) after each atom.
Positions (direct):
Y1 0.0000 0.0000 0.0000  12 Re 3.09, 4 Ir 3.22
Re1 0.1250 0.6250 0.6250  6 Re 2.63
Re2 0.6250 0.1250 0.6250  6 Re 2.63
Re3 0.6250 0.6250 0.1250  6 Re 2.63
Re4 0.6250 0.6250 0.6250  6 Re 2.63
Ir1 0.2500 0.2500 0.2500  12 Re 3.09, 4 Y 3.22

Material: BaTcSbI2
Method: DFT, GGA-PBE
State: relaxed

Space group = P4/mmm
Offset from the most stable computed form = 0 meV/atom
E = -4.18 eV per atom
Fermi-level density of states = 5.34 states/eV/cell

Unit cell a=5.7063 b=5.7063 c=5.1370 alpha=90.00 beta=90.00 gamma=90.00
With the nearest neighbours (Å) after each atom.
Positions (direct):
Ba1 0.0000 0.0000 0.0000  8 I 3.84, 4 Sb 4.03
Tc1 0.5000 0.5000 0.5000  2 Sb 2.57, 4 I 2.85
Sb1 0.5000 0.5000 0.0000  2 Tc 2.57
I1 0.0000 0.5000 0.5000  2 Tc 2.85
I2 0.5000 0.0000 0.5000  2 Tc 2.85

Material: Sr2CaDy
Method: DFT, GGA-PBE
State: relaxed

Space group = P4/mmm
Offset from the most stable computed form = 27 meV/atom
E = -2.31 eV per atom
ΔE_f = 0.18 eV/atom
Fermi-level density of states = 4.03 states/eV/cell

Unit cell a=6.2504 b=6.2504 c=4.3724 alpha=90.00 beta=90.00 gamma=90.00
With the nearest neighbours (Å) after each atom.
Positions (direct):
Sr1 0.0000 0.5000 0.0000  4 Dy 3.81, 4 Ca 3.81
Sr2 0.5000 0.0000 0.0000  4 Dy 3.81, 4 Ca 3.81
Ca1 0.0000 0.0000 0.5000  8 Sr 3.81
Dy1 0.5000 0.5000 0.5000  8 Sr 3.81